# 1
Computed, not measured: a relaxed structure of Si2Br at the GGA-PBE level of DFT.

Cell and atoms, written as POSCAR:
```
Si2Br
1.0
-1.752 1.752 5.538
1.752 -1.752 5.538
1.752 1.752 -5.538
Si Br
2 1
Direct
0.229 0.229 0.000
0.771 0.771 0.000
0.000 0.000 0.000
```

Values from the calculation:
Its symmetry is I4/mmm. The uncorrected energy is -3.94 eV per atom.

# 2
Computed, not measured: a relaxed structure of SiBr4 at the GGA-PBE level of DFT.

Cell and atoms, written as POSCAR:
```
SiBr4
1.0
12.017 0.000 0.000
0.000 12.017 0.000
0.000 0.000 12.017
Si Br
8 32
Direct
0.134 0.134 0.134
0.134 0.366 0.634
0.366 0.634 0.134
0.366 0.866 0.634
0.634 0.134 0.366
0.634 0.366 0.866
0.866 0.634 0.366
0.866 0.866 0.866
0.017 0.240 0.039
0.017 0.260 0.539
0.039 0.017 0.240
0.039 0.483 0.740
0.240 0.039 0.017
0.240 0.240 0.240
0.240 0.260 0.740
0.240 0.461 0.517
0.260 0.539 0.017
0.260 0.740 0.240
0.260 0.760 0.740
0.260 0.961 0.517
0.461 0.517 0.240
0.461 0.983 0.740
0.483 0.740 0.039
0.483 0.760 0.539
0.517 0.240 0.461
0.517 0.260 0.961
0.539 0.017 0.260
0.539 0.483 0.760
0.740 0.039 0.483
0.740 0.240 0.260
0.740 0.260 0.760
0.740 0.461 0.983
0.760 0.539 0.483
0.760 0.740 0.260
0.760 0.760 0.760
0.760 0.961 0.983
0.961 0.517 0.260
0.961 0.983 0.760
0.983 0.740 0.461
0.983 0.760 0.961
```

Values from the calculation:
Its symmetry is Pa-3. The uncorrected energy is -3.22 eV per atom.

# 3
Computed, not measured: a relaxed structure of Si2Br at the GGA-PBE level of DFT.

Cell and atoms, written as POSCAR:
```
Si2Br
1.0
-2.407 2.407 14.425
2.407 -2.407 14.425
2.407 2.407 -14.425
Si Br
8 4
Direct
0.099 0.349 0.750
0.333 0.583 0.750
0.349 0.099 0.250
0.417 0.667 0.750
0.583 0.333 0.250
0.651 0.901 0.750
0.667 0.417 0.250
0.901 0.651 0.250
0.061 0.811 0.250
0.189 0.939 0.250
0.811 0.061 0.750
0.939 0.189 0.750
```

Values from the calculation:
Its symmetry is I4_1/amd. The uncorrected energy is -3.67 eV per atom.

# 4
Computed, not measured: a relaxed structure of Si2Br at the GGA-PBE level of DFT.

Cell and atoms, written as POSCAR:
```
Si2Br
1.0
3.886 0.000 0.000
-1.943 3.366 0.000
0.000 0.000 5.073
Si Br
2 1
Direct
0.333 0.667 0.069
0.667 0.333 0.931
0.000 0.000 0.500
```

Values from the calculation:
Its symmetry is P-3m1. The uncorrected energy is -3.90 eV per atom.

# 5
Computed, not measured: a relaxed structure of SiBr at the GGA-PBE level of DFT.

Cell and atoms, written as POSCAR:
```
SiBr
1.0
-1.966 1.966 6.266
1.966 -1.966 6.266
1.966 1.966 -6.266
Si Br
2 2
Direct
0.375 0.625 0.750
0.625 0.375 0.250
0.125 0.875 0.250
0.875 0.125 0.750
```

Values from the calculation:
Its symmetry is I4_1/amd. The uncorrected energy is -2.94 eV per atom.

# 6
Computed, not measured: a relaxed structure of SiBr at the GGA-PBE level of DFT.

Cell and atoms, written as POSCAR:
```
SiBr
1.0
2.169 -6.198 0.000
2.169 6.198 0.000
0.000 0.000 4.839
Si Br
2 2
Direct
0.016 0.984 0.750
0.984 0.016 0.250
0.380 0.620 0.250
0.620 0.380 0.750
```

Values from the calculation:
Its symmetry is Cmcm. The uncorrected energy is -3.44 eV per atom.

# 7
Computed, not measured: a relaxed structure of Si2Br at the GGA-PBE level of DFT.

Cell and atoms, written as POSCAR:
```
Si2Br
1.0
5.210 0.000 0.000
0.000 3.909 0.000
0.000 0.000 12.011
Si Br
8 4
Direct
0.001 0.250 0.079
0.029 0.250 0.790
0.471 0.750 0.290
0.499 0.750 0.579
0.501 0.250 0.421
0.529 0.250 0.710
0.971 0.750 0.210
0.999 0.750 0.921
0.029 0.750 0.611
0.471 0.250 0.111
0.529 0.750 0.889
0.971 0.250 0.389
```

Values from the calculation:
Its symmetry is Pnma. The uncorrected energy is -3.88 eV per atom.

# 8
Computed, not measured: a relaxed structure of SiBr4 at the GGA-PBE level of DFT.

Cell and atoms, written as POSCAR:
```
SiBr4
1.0
-3.312 3.312 3.312
3.312 -3.312 3.312
3.312 3.312 -3.312
Si Br
1 4
Direct
0.000 0.000 0.000
0.000 0.000 0.500
0.000 0.500 0.000
0.500 0.000 0.000
0.500 0.500 0.500
```

Values from the calculation:
Its symmetry is Im-3m. The uncorrected energy is -2.19 eV per atom.

# 9
Computed, not measured: a relaxed structure of SiBr at the GGA-PBE level of DFT.

Cell and atoms, written as POSCAR:
```
SiBr
1.0
3.422 0.000 0.000
-1.711 2.964 0.000
0.000 0.000 4.413
Si Br
1 1
Direct
0.000 0.000 0.000
0.333 0.667 0.500
```

Values from the calculation:
Its symmetry is P-6m2. The uncorrected energy is -3.01 eV per atom.

# 10
Computed, not measured: a relaxed structure of SiBr at the GGA-PBE level of DFT.

Cell and atoms, written as POSCAR:
```
SiBr
1.0
8.111 0.000 0.000
0.000 8.111 0.000
0.000 0.000 8.111
Si Br
6 6
Direct
0.000 0.250 0.500
0.000 0.750 0.500
0.250 0.500 0.000
0.500 0.000 0.250
0.500 0.000 0.750
0.750 0.500 0.000
0.000 0.500 0.250
0.000 0.500 0.750
0.250 0.000 0.500
0.500 0.250 0.000
0.500 0.750 0.000
0.750 0.000 0.500
```

Values from the calculation:
Its symmetry is Pm-3n. The uncorrected energy is -2.62 eV per atom.

# 11
Computed, not measured: a relaxed structure of Si4Br at the GGA-PBE level of DFT.

Cell and atoms, written as POSCAR:
```
Si4Br
1.0
-3.008 3.008 3.008
3.008 -3.008 3.008
3.008 3.008 -3.008
Si Br
4 1
Direct
0.000 0.000 0.500
0.000 0.500 0.000
0.500 0.000 0.000
0.500 0.500 0.500
0.000 0.000 0.000
```

Values from the calculation:
Its symmetry is Im-3m. The uncorrected energy is -3.38 eV per atom.

# 12
Computed, not measured: a relaxed structure of SiBr at the GGA-PBE level of DFT.

Cell and atoms, written as POSCAR:
```
SiBr
1.0
0.000 3.514 3.514
3.514 0.000 3.514
3.514 3.514 0.000
Si Br
2 2
Direct
0.125 0.125 0.125
0.875 0.875 0.875
0.375 0.375 0.375
0.625 0.625 0.625
```

Values from the calculation:
Its symmetry is Fd-3m. The uncorrected energy is -2.79 eV per atom.

Per-record E above lowest polymorph, meV per atom: 512, 1, 778, 551, 1029, 523, 568, 1035, 956, 1349, 0, 1175